# CsGd2CuSeS3

An optimized crystal structure of CsGd2CuSeS3 (PBE, OQMD).

Mass density: 5.52 g cm⁻³
Crystal system: orthorhombic
ΔE to the lowest computed polymorph: 0.0000 eV per atom

a b c (Å): 7.4798 7.4798 14.0038
angles (deg): 90.00 90.00 148.22
Closest atoms and distances in Å follow each position.
Positions (direct):
Cs 0.1019 0.8981 0.7500  6 S 3.39-3.50, 2 Se 3.80
Cs 0.8981 0.1019 0.2500  6 S 3.39-3.50, 2 Se 3.80
Gd 0.3608 0.6392 0.5632  4 S 2.72-2.81, 2 Se 3.00
Gd 0.3608 0.6392 0.9368  4 S 2.72-2.81, 2 Se 3.00
Gd 0.6392 0.3608 0.0632  4 S 2.72-2.81, 2 Se 3.00
Gd 0.6392 0.3608 0.4368  4 S 2.72-2.81, 2 Se 3.00
Cu 0.1698 0.8302 0.2500  4 S 2.36-2.37
Cu 0.8302 0.1698 0.7500  4 S 2.36-2.37
Se 0.0000 0.0000 0.0000  4 Gd 3.00
Se 0.0000 0.0000 0.5000  4 Gd 3.00
S 0.2575 0.7425 0.1073  1 Cu 2.36
S 0.2575 0.7425 0.3927  1 Cu 2.36
S 0.4137 0.5863 0.7500  2 Cu 2.37
S 0.5863 0.4137 0.2500  2 Cu 2.37
S 0.7425 0.2575 0.6073  1 Cu 2.36
S 0.7425 0.2575 0.8927  1 Cu 2.36

# CsGd2Cu3SeS4

An optimized crystal structure of CsGd2Cu3SeS4 (PBE, OQMD).

Mass density: 5.81 g cm⁻³
Uncorrected energy: -54.5 eV/f.u.
Crystal system: orthorhombic

a b c (Å): 7.3344 7.3344 17.0862
angles (deg): 90.00 90.00 148.26
Closest atoms and distances in Å follow each position.
Positions (direct):
Cs 0.0612 0.9388 0.7500  6 S 3.44-3.59, 2 Se 3.48, 2 Cu 3.59
Cs 0.9388 0.0612 0.2500  6 S 3.44-3.59, 2 Se 3.48, 2 Cu 3.59
Gd 0.1899 0.8101 0.0886  5 S 2.71-2.86, 1 Se 2.84
Gd 0.1899 0.8101 0.4114  5 S 2.71-2.86, 1 Se 2.84
Gd 0.8101 0.1899 0.5886  5 S 2.71-2.86, 1 Se 2.84
Gd 0.8101 0.1899 0.9114  5 S 2.71-2.86, 1 Se 2.84
Cu 0.3499 0.6501 0.7500  2 Se 2.35
Cu 0.4159 0.5841 0.0369  4 S 2.37-2.49
Cu 0.4159 0.5841 0.4631  4 S 2.37-2.49
Cu 0.5841 0.4159 0.5369  4 S 2.37-2.49
Cu 0.5841 0.4159 0.9631  4 S 2.37-2.49
Cu 0.6501 0.3499 0.2500  2 Se 2.35
Se 0.2373 0.7627 0.2500  2 Cu 2.35
Se 0.7627 0.2373 0.7500  2 Cu 2.35
S 0.1678 0.8322 0.5689  2 Cu 2.39
S 0.1678 0.8322 0.9311  2 Cu 2.39
S 0.4395 0.5605 0.6074  2 Cu 2.37-2.49
S 0.4395 0.5605 0.8926  2 Cu 2.37-2.49
S 0.5605 0.4395 0.1074  2 Cu 2.37-2.49
S 0.5605 0.4395 0.3926  2 Cu 2.37-2.49
S 0.8322 0.1678 0.0689  2 Cu 2.39
S 0.8322 0.1678 0.4311  2 Cu 2.39

# CsGd2Cu3Te4S

An optimized crystal structure of CsGd2Cu3Te4S (PBE, OQMD).

Mass density: 6.46 g cm⁻³
Uncorrected energy: -48.1 eV/f.u.
Crystal system: orthorhombic

a b c (Å): 8.1020 8.1020 18.0515
angles (deg): 90.00 90.00 149.18
Closest atoms and distances in Å follow each position.
Positions (direct):
Cs 0.0737 0.9263 0.7500  6 Te 3.56-3.76, 2 S 3.73
Cs 0.9263 0.0737 0.2500  6 Te 3.56-3.76, 2 S 3.73
Gd 0.1957 0.8043 0.1012  1 S 2.74
Gd 0.1957 0.8043 0.3988  1 S 2.74
Gd 0.8043 0.1957 0.6012  1 S 2.74
Gd 0.8043 0.1957 0.8988  1 S 2.74
Cu 0.3320 0.6680 0.7500  2 S 2.37
Cu 0.4173 0.5827 0.0219  4 Te 2.62-2.82, 1 Cu 2.70
Cu 0.4173 0.5827 0.4781  4 Te 2.62-2.82, 1 Cu 2.70
Cu 0.5827 0.4173 0.5219  4 Te 2.62-2.82, 1 Cu 2.70
Cu 0.5827 0.4173 0.9781  4 Te 2.62-2.82, 1 Cu 2.70
Cu 0.6680 0.3320 0.2500  2 S 2.37
Te 0.1632 0.8368 0.5686  2 Cu 2.63
Te 0.1632 0.8368 0.9314  2 Cu 2.63
Te 0.4437 0.5563 0.6214  3 Cu 2.62-2.90
Te 0.4437 0.5563 0.8786  3 Cu 2.62-2.90
Te 0.5563 0.4437 0.1214  3 Cu 2.62-2.90
Te 0.5563 0.4437 0.3786  3 Cu 2.62-2.90
Te 0.8368 0.1632 0.0686  2 Cu 2.63
Te 0.8368 0.1632 0.4314  2 Cu 2.63
S 0.2314 0.7686 0.2500  2 Cu 2.37
S 0.7686 0.2314 0.7500  2 Cu 2.37

# Cs2Gd4Cu4Se9

An optimized crystal structure of Cs2Gd4Cu4Se9 (PBE, OQMD).

Mass density: 6.30 g cm⁻³
Uncorrected energy: -91.0 eV/f.u.
Crystal system: monoclinic

a b c (Å): 7.6567 7.6567 16.8412
angles (deg): 107.86 107.86 31.56
Closest atoms and distances in Å follow each position.
Positions (direct):
Cs 0.0303 0.0303 0.2717  7 Se 3.45-3.67
Cs 0.9697 0.9697 0.7283  7 Se 3.45-3.67
Gd 0.2298 0.2298 0.1017  6 Se 2.85-2.97
Gd 0.3464 0.3464 0.4450  6 Se 2.84-3.00
Gd 0.6536 0.6536 0.5550  6 Se 2.84-3.00
Gd 0.7702 0.7702 0.8983  6 Se 2.85-2.97
Cu 0.2474 0.2474 0.7304  4 Se 2.44-2.71
Cu 0.4262 0.4262 0.0317  4 Se 2.50-2.60, 1 Cu 2.71
Cu 0.5738 0.5738 0.9683  4 Se 2.50-2.60, 1 Cu 2.71
Cu 0.7526 0.7526 0.2696  4 Se 2.44-2.71
Se 0.0000 0.0000 0.5000  4 Gd 3.00
Se 0.1389 0.1389 0.9245  2 Cu 2.50
Se 0.2938 0.2938 0.5991  1 Cu 2.51
Se 0.3410 0.3410 0.2749  2 Cu 2.44
Se 0.3949 0.3949 0.8760  3 Cu 2.51-2.71
Se 0.6051 0.6051 0.1240  3 Cu 2.51-2.71
Se 0.6590 0.6590 0.7251  2 Cu 2.44
Se 0.7062 0.7062 0.4009  1 Cu 2.51
Se 0.8611 0.8611 0.0755  2 Cu 2.50

# CsGd2Cu3Se5

An optimized crystal structure of CsGd2Cu3Se5 (PBE, OQMD).

Mass density: 6.39 g cm⁻³
Uncorrected energy: -51.2 eV/f.u.
Crystal system: orthorhombic

a b c (Å): 7.6489 7.6489 17.5404
angles (deg): 90.00 90.00 148.44
Closest atoms and distances in Å follow each position.
Positions (direct):
Cs 0.0610 0.9390 0.7500  8 Se 3.51-3.66, 2 Cu 3.84
Cs 0.9390 0.0610 0.2500  8 Se 3.51-3.66, 2 Cu 3.84
Gd 0.1919 0.8081 0.0908  6 Se 2.86-2.97
Gd 0.1919 0.8081 0.4092  6 Se 2.86-2.97
Gd 0.8081 0.1919 0.5908  6 Se 2.86-2.97
Gd 0.8081 0.1919 0.9092  6 Se 2.86-2.97
Cu 0.3418 0.6582 0.7500  2 Se 2.38
Cu 0.4154 0.5846 0.0305  4 Se 2.51-2.55, 1 Cu 2.71
Cu 0.4154 0.5846 0.4695  4 Se 2.51-2.55, 1 Cu 2.71
Cu 0.5846 0.4154 0.5305  4 Se 2.51-2.55, 1 Cu 2.71
Cu 0.5846 0.4154 0.9695  4 Se 2.51-2.55, 1 Cu 2.71
Cu 0.6582 0.3418 0.2500  2 Se 2.38
Se 0.1665 0.8335 0.5707  2 Cu 2.51
Se 0.1665 0.8335 0.9293  2 Cu 2.51
Se 0.2370 0.7630 0.2500  2 Cu 2.38
Se 0.4405 0.5595 0.6117  2 Cu 2.52-2.55
Se 0.4405 0.5595 0.8883  2 Cu 2.52-2.55
Se 0.5595 0.4405 0.1117  2 Cu 2.52-2.55
Se 0.5595 0.4405 0.3883  2 Cu 2.52-2.55
Se 0.7630 0.2370 0.7500  2 Cu 2.38
Se 0.8335 0.1665 0.0707  2 Cu 2.51
Se 0.8335 0.1665 0.4293  2 Cu 2.51

# CsGd2CuTeSe3

An optimized crystal structure of CsGd2CuTeSe3 (PBE, OQMD).

Mass density: 6.14 g cm⁻³
Crystal system: orthorhombic
ΔE to the lowest computed polymorph: 0.0000 eV per atom

a b c (Å): 7.8593 7.8593 14.6553
angles (deg): 90.00 90.00 148.45
Closest atoms and distances in Å follow each position.
Positions (direct):
Cs 0.1026 0.8974 0.7500  6 Se 3.52-3.62
Cs 0.8974 0.1026 0.2500  6 Se 3.52-3.62
Gd 0.3570 0.6430 0.5659  4 Se 2.85-2.95, 2 Te 3.19
Gd 0.3570 0.6430 0.9341  4 Se 2.85-2.95, 2 Te 3.19
Gd 0.6430 0.3570 0.0659  4 Se 2.85-2.95, 2 Te 3.19
Gd 0.6430 0.3570 0.4341  4 Se 2.85-2.95, 2 Te 3.19
Cu 0.1674 0.8326 0.2500  4 Se 2.49-2.50
Cu 0.8326 0.1674 0.7500  4 Se 2.49-2.50
Te 0.0000 0.0000 0.0000  4 Gd 3.19
Te 0.0000 0.0000 0.5000  4 Gd 3.19
Se 0.2608 0.7392 0.1093  1 Cu 2.50
Se 0.2608 0.7392 0.3907  1 Cu 2.50
Se 0.4175 0.5825 0.7500  2 Cu 2.49
Se 0.5825 0.4175 0.2500  2 Cu 2.49
Se 0.7392 0.2608 0.6093  1 Cu 2.50
Se 0.7392 0.2608 0.8907  1 Cu 2.50

# CsGd2CuTeSe3

An optimized crystal structure of CsGd2CuTeSe3 (PBE, OQMD).

Mass density: 6.13 g cm⁻³
Crystal system: orthorhombic
ΔE to the lowest computed polymorph: 0.0318 eV per atom

a b c (Å): 7.7489 7.7489 14.9304
angles (deg): 90.00 90.00 148.06
Closest atoms and distances in Å follow each position.
Positions (direct):
Cs 0.1208 0.8792 0.7500  4 Se 3.56, 2 Te 3.57, 2 Cu 3.78
Cs 0.8792 0.1208 0.2500  4 Se 3.56, 2 Te 3.57, 2 Cu 3.78
Gd 0.3663 0.6337 0.5552  5 Se 2.89-3.03, 1 Te 3.05
Gd 0.3663 0.6337 0.9448  5 Se 2.89-3.03, 1 Te 3.05
Gd 0.6337 0.3663 0.0552  5 Se 2.89-3.03, 1 Te 3.05
Gd 0.6337 0.3663 0.4448  5 Se 2.89-3.03, 1 Te 3.05
Cu 0.1698 0.8302 0.2500  2 Se 2.51, 2 Te 2.59
Cu 0.8302 0.1698 0.7500  2 Se 2.51, 2 Te 2.59
Te 0.4290 0.5710 0.7500  2 Cu 2.59
Te 0.5710 0.4290 0.2500  2 Cu 2.59
Se 0.0000 0.0000 0.0000  4 Gd 3.03
Se 0.0000 0.0000 0.5000  4 Gd 3.03
Se 0.2550 0.7450 0.1052  1 Cu 2.51
Se 0.2550 0.7450 0.3948  1 Cu 2.51
Se 0.7450 0.2550 0.6052  1 Cu 2.51
Se 0.7450 0.2550 0.8948  1 Cu 2.51

# CsGd2Cu3TeSe4

An optimized crystal structure of CsGd2Cu3TeSe4 (PBE, OQMD).

Mass density: 6.47 g cm⁻³
Uncorrected energy: -50.0 eV/f.u.
Crystal system: orthorhombic

a b c (Å): 7.6497 7.6497 17.9185
angles (deg): 90.00 90.00 148.04
Closest atoms and distances in Å follow each position.
Positions (direct):
Cs 0.0509 0.9491 0.7500  6 Se 3.63-3.67, 2 Cu 3.66, 2 Te 3.68
Cs 0.9491 0.0509 0.2500  6 Se 3.63-3.67, 2 Cu 3.66, 2 Te 3.68
Gd 0.1891 0.8109 0.0853  5 Se 2.82-3.00, 1 Te 3.06
Gd 0.1891 0.8109 0.4147  5 Se 2.82-3.00, 1 Te 3.06
Gd 0.8109 0.1891 0.5853  5 Se 2.82-3.00, 1 Te 3.06
Gd 0.8109 0.1891 0.9147  5 Se 2.82-3.00, 1 Te 3.06
Cu 0.3476 0.6524 0.7500  2 Te 2.50
Cu 0.4142 0.5858 0.0305  4 Se 2.52-2.55, 1 Cu 2.75
Cu 0.4142 0.5858 0.4695  4 Se 2.52-2.55, 1 Cu 2.75
Cu 0.5858 0.4142 0.5305  4 Se 2.52-2.55, 1 Cu 2.75
Cu 0.5858 0.4142 0.9695  4 Se 2.52-2.55, 1 Cu 2.75
Cu 0.6524 0.3476 0.2500  2 Te 2.50
Te 0.2437 0.7563 0.2500  2 Cu 2.50
Te 0.7563 0.2437 0.7500  2 Cu 2.50
Se 0.1669 0.8331 0.5713  2 Cu 2.53, 1 Gd 2.82
Se 0.1669 0.8331 0.9287  2 Cu 2.53, 1 Gd 2.82
Se 0.4407 0.5593 0.6085  2 Cu 2.52-2.55
Se 0.4407 0.5593 0.8915  2 Cu 2.52-2.55
Se 0.5593 0.4407 0.1085  2 Cu 2.52-2.55
Se 0.5593 0.4407 0.3915  2 Cu 2.52-2.55
Se 0.8331 0.1669 0.0713  2 Cu 2.53, 1 Gd 2.82
Se 0.8331 0.1669 0.4287  2 Cu 2.53, 1 Gd 2.82

# CsGd2Cu3Te5

An optimized crystal structure of CsGd2Cu3Te5 (PBE, OQMD).

Mass density: 6.68 g cm⁻³
Uncorrected energy: -46.3 eV/f.u.
Crystal system: orthorhombic

a b c (Å): 8.0853 8.0853 18.5487
angles (deg): 90.00 90.00 148.44
Closest atoms and distances in Å follow each position.
Positions (direct):
Cs 0.0569 0.9431 0.7500  8 Te 3.68-3.82, 2 Cu 4.00
Cs 0.9431 0.0569 0.2500  8 Te 3.68-3.82, 2 Cu 4.00
Gd 0.1924 0.8076 0.0898  6 Te 3.05-3.16
Gd 0.1924 0.8076 0.4102  6 Te 3.05-3.16
Gd 0.8076 0.1924 0.5898  6 Te 3.05-3.16
Gd 0.8076 0.1924 0.9102  6 Te 3.05-3.16
Cu 0.3422 0.6578 0.7500  2 Te 2.56
Cu 0.4150 0.5850 0.0245  4 Te 2.63-2.78, 1 Cu 2.80
Cu 0.4150 0.5850 0.4755  4 Te 2.63-2.78, 1 Cu 2.80
Cu 0.5850 0.4150 0.5245  4 Te 2.63-2.78, 1 Cu 2.80
Cu 0.5850 0.4150 0.9755  4 Te 2.63-2.78, 1 Cu 2.80
Cu 0.6578 0.3422 0.2500  2 Te 2.56
Te 0.1628 0.8372 0.5727  2 Cu 2.66
Te 0.1628 0.8372 0.9273  2 Cu 2.66
Te 0.2427 0.7573 0.2500  2 Cu 2.56
Te 0.4434 0.5566 0.6154  2 Cu 2.63-2.78
Te 0.4434 0.5566 0.8846  2 Cu 2.63-2.78
Te 0.5566 0.4434 0.1154  2 Cu 2.63-2.78
Te 0.5566 0.4434 0.3846  2 Cu 2.63-2.78
Te 0.7573 0.2427 0.7500  2 Cu 2.56
Te 0.8372 0.1628 0.0727  2 Cu 2.66
Te 0.8372 0.1628 0.4273  2 Cu 2.66